Ni2RuAu after structural relaxation, computed with PBE.

The density of states at the Fermi level comes out at 12.5 states/eV per cell. Its formation energy is 0.28 eV per atom. The volume is 54.7 Å³/f.u.

It has space group Fm-3m (No. 225), with a = 6.027 Å, b = 6.027 Å, c = 6.027 Å, α = 90.00°, β = 90.00° and γ = 90.00°. The asymmetric unit holds Ni at (0.250, 0.250, 0.250), Ru at (0.000, 0.000, 0.000) and Au at (0.000, 0.000, 0.500).

Ni4RuAu after structural relaxation, computed with PBE.

The density of states at the Fermi level comes out at 15.7 states/eV per cell. Its formation energy is 0.16 eV per atom. The volume is 75.9 Å³/f.u.

It has space group F-43m (No. 216), with a = 6.720 Å, b = 6.720 Å, c = 6.720 Å, α = 90.00°, β = 90.00° and γ = 90.00°. The asymmetric unit holds Ni at (0.125, 0.125, 0.125), Ru at (0.000, 0.000, 0.500) and Au at (0.250, 0.250, 0.750).

NiRu2Au after structural relaxation, computed with PBE.

The density of states at the Fermi level comes out at 9.6 states/eV per cell. Its formation energy is 0.41 eV per atom. The volume is 59.0 Å³/f.u.

It has space group Cmm2 (No. 35), with a = 2.784 Å, b = 4.628 Å, c = 9.166 Å, α = 90.00°, β = 90.00° and γ = 90.00°. The asymmetric unit holds Ni at (0.000, 0.000, 0.000), Ru at (0.000, 0.000, 0.470), Ru at (0.000, 0.500, 0.231) and Au at (0.000, 0.500, 0.749).

Ni2RuAu after structural relaxation, computed with PBE.

The density of states at the Fermi level comes out at 12.0 states/eV per cell. Its formation energy is 0.25 eV per atom. The volume is 54.9 Å³/f.u.

It has space group C2/m (No. 12), with a = 8.568 Å, b = 2.686 Å, c = 4.840 Å, α = 90.00°, β = 99.40° and γ = 90.00°. The asymmetric unit holds Ni at (0.246, 0.000, 0.222), Ru at (0.000, 0.500, 0.000) and Au at (0.000, 0.000, 0.500).

Question: Number 4 is which compound?
Answer: Ni2RuAu